A plane-wave DFT calculation with PBE with a Hubbard U was carried out for crystalline Ag4W6O19 at its relaxed geometry.

abc: 8.3667 8.3667 8.3667
angles: 109.47 109.47 109.47
Last column: nearest neighbours and their distance in Å.
Atoms (fractional coordinates):
Ag: 0.0000 0.0000 0.7401  1 O 2.17
Ag: 0.0000 0.7401 0.0000  1 O 2.17
Ag: 0.2599 0.2599 0.2599  1 O 2.17
Ag: 0.7401 0.0000 0.0000  1 O 2.17
W: 0.3421 0.5000 0.8421  6 O 1.92-1.99
W: 0.6579 0.5000 0.1579  6 O 1.92-1.99
W: 0.1579 0.6579 0.5000  6 O 1.92-1.99
W: 0.8421 0.3421 0.5000  6 O 1.92-1.99
W: 0.5000 0.8421 0.3421  6 O 1.92-1.99
W: 0.5000 0.1579 0.6579  6 O 1.92-1.99
O: 0.6316 0.0000 0.6316  2 W 1.99
O: 0.3684 0.0000 0.3684  2 W 1.99
O: 0.3684 0.3684 0.0000  2 W 1.99
O: 0.6316 0.6316 0.0000  2 W 1.99
O: 0.0000 0.6316 0.6316  2 W 1.99
O: 0.0000 0.3684 0.3684  2 W 1.99
O: 0.0000 0.0000 0.0000  4 Ag 2.17
O: 0.3606 0.2989 0.6499  2 W 1.92-1.99
O: 0.6394 0.2893 0.9382  2 W 1.92-1.99
O: 0.6489 0.7107 0.3501  2 W 1.92-1.99
O: 0.9382 0.6394 0.2893  2 W 1.92-1.99
O: 0.3511 0.7011 0.0618  2 W 1.92-1.99
O: 0.6499 0.3606 0.2989  2 W 1.92-1.99
O: 0.0618 0.3511 0.7011  2 W 1.92-1.99
O: 0.3501 0.6489 0.7107  2 W 1.92-1.99
O: 0.7011 0.0618 0.3511  2 W 1.92-1.99
O: 0.2893 0.9382 0.6394  2 W 1.92-1.99
O: 0.2989 0.6499 0.3606  2 W 1.92-1.99
O: 0.7107 0.3501 0.6489  2 W 1.92-1.99

Output
- Uncorrected energy: -6.599 eV/atom